## Sc2NiPd (GGA-PBE)

Data for Sc2NiPd after structural relaxation.

Cell: 7.077 7.077 5.804 Å, 90.00 90.00 90.00°
Space group I-42d (No. 122)
Inequivalent atoms, fractional coordinates:
1 Sc 0.235 0.250 0.125 [8 per cell]
2 Ni 0.000 0.000 0.000 [4 per cell]
3 Pd 0.000 0.000 0.500 [4 per cell]

Properties
The calculation puts the theoretical density at 5.8 Mg/m³. For the formation energy, the calculation gives -290.2 meV per atom. Its density of states at the Fermi level is 0.81 states/eV per atom.

## CsTl3Se2 (GGA-PBE)

Data for CsTl3Se2 after structural relaxation.

Cell: 16.617 4.936 11.698 Å, 90.00 112.13 90.00°
Space group C2/m (No. 12)
Inequivalent atoms, fractional coordinates:
1 Cs 0.131 0.000 0.036 [4 per cell]
2 Tl 0.029 0.000 0.358 [4 per cell]
3 Tl 0.109 0.500 0.636 [4 per cell]
4 Tl 0.209 0.500 0.395 [4 per cell]
5 Se 0.032 0.500 0.205 [4 per cell]
6 Se 0.202 0.000 0.775 [4 per cell]

Properties
The calculation puts the theoretical density at 6.8 Mg/m³. The formation energy from raw total energies is -548 meV per atom.

## CrWBr2 (GGA-PBE)

Data for CrWBr2 after structural relaxation.

Cell: 6.175 8.855 3.224 Å, 90.00 114.67 90.00°
Space group C2/m (No. 12)
Inequivalent atoms, fractional coordinates:
1 Cr 0.000 0.000 0.000 [2 per cell]
2 W 0.000 0.500 0.000 [2 per cell]
3 Br 0.250 0.250 0.000 [4 per cell]

Properties
The calculation puts the theoretical density at 8.2 Mg/m³. The formation energy from raw total energies is 1001 meV per atom. Its density of states at the Fermi level is 0.84 states/eV per atom.

## AlCuNi (GGA-PBE)

Data for AlCuNi after structural relaxation.

Cell: 4.539 5.214 6.234 Å, 97.55 90.16 90.09°
Space group P-1 (No. 2)
Inequivalent atoms, fractional coordinates:
1 Al 0.110 0.264 0.003 [2 per cell]
2 Al 0.389 0.264 0.501 [2 per cell]
3 Cu 0.100 0.913 0.668 [2 per cell]
4 Cu 0.400 0.912 0.167 [2 per cell]
5 Ni 0.098 0.590 0.333 [2 per cell]
6 Ni 0.402 0.589 0.832 [2 per cell]

Properties
The calculation puts the theoretical density at 6.8 Mg/m³. For the formation energy, the calculation gives -354.1 meV per atom. Its density of states at the Fermi level is 0.42 states/eV per atom.